EuBiO | Alexandria | PBE | relaxed; mass density = 7.9 Mg/m³; N(E_F) = 1.288 states/eV per atom; raw formation energy = -1.51 eV/atom; SG = P3m1, No. 156
1.0
-3.421 -1.547 -0.666
2.879 -2.188 1.209
-1.666 1.110 5.978
Eu O Bi
1 1 1
direct
0.667 0.333 0.500
0.333 0.667 0.500
0.000 0.000 0.000